A plane-wave DFT calculation with SCAN was carried out for a PBEsol-optimized structure of BaPbSCl2.

Lattice parameters (Å, degrees): 5.3835 5.3835 5.5879 90.00 90.00 90.00
Fractional coordinates of all 5 atoms:
Pb  0.0000  0.0000  0.0000
S  0.0000  0.0000  0.5000
Ba  0.5000  0.5000  0.5000
Cl  0.0000  0.5000  0.0000
Cl  0.5000  0.0000  0.0000

Results
**Uncorrected formation energy**: -1.46 eV per atom
**Energy**: -148.21 eV/f.u.
**Calculated volume**: 32.4 Å³ per atom